Entry from Alexandria via LeMat-Bulk: an optimized crystal structure of CoAsPdO2 (GGA+U).

Cell and atoms, written as POSCAR:
```
CoAsPdO2
1.0
3.7683 0.0000 0.0000
0.0000 5.0343 0.0000
0.0000 0.0000 3.7683
As Co O Pd
1 1 2 1
Direct
0.0000 0.0000 0.0000
0.5000 0.5000 0.5000
0.0000 0.0000 0.5000
0.5000 0.0000 0.0000
0.0000 0.5000 0.0000
```

DFT total energy = -24.42 eV for the cell shown
space-group type = P4/mmm
density of states at the Fermi level = 2.6 states/eV per cell